# SrY2Cl

A geometry-optimized SrY2Cl structure (GGA-PBEsol, the Alexandria database).

Cell: 6.0359 12.3210 3.5821 Å, 90.00 90.00 90.00°
Closest atoms and distances in Å follow each position.
Positions (direct):
Sr: 0.0000 0.0000 0.0000  2 Cl 3.02
Sr: 0.5000 0.5000 0.0000  2 Cl 3.02
Y: 0.2500 0.2500 0.5000  2 Y 3.02
Y: 0.2500 0.7500 0.5000  2 Y 3.02
Y: 0.7500 0.2500 0.5000  2 Y 3.02
Y: 0.7500 0.7500 0.5000  2 Y 3.02
Cl: 0.0000 0.5000 0.0000  2 Sr 3.02
Cl: 0.5000 0.0000 0.0000  2 Sr 3.02

Summary:
Space-group type: Cmmm, No. 65
Energy relative to the elements, uncorrected: -0.09 eV per atom
Electronic total energy: -4.467 eV/atom